Record 1
Compound: Pm2Sn3Pt4Au
Source: the Alexandria database
Functional: PBE
Structure: optimized geometry

Unit cell a=4.2325 b=4.2325 c=12.2124 alpha=90.00 beta=90.00 gamma=90.00
Space group P-4m2 (No. 115)
Symmetry-distinct sites (fractional):
Pm  0.0000  0.5000  0.2347 (multiplicity 2)
Sn  0.0000  0.0000  0.0000 (multiplicity 1)
Sn  0.0000  0.5000  0.6333 (multiplicity 2)
Pt  0.0000  0.0000  0.5000 (multiplicity 1)
Pt  0.0000  0.5000  0.8456 (multiplicity 2)
Pt  0.5000  0.5000  0.5000 (multiplicity 1)
Au  0.5000  0.5000  0.0000 (multiplicity 1)

Results
**Formation energy from the elements**: -0.766 eV/atom
**Uncorrected energy**: -0.416 Ry per atom


Record 2
Compound: PmSnPtAu
Source: the Alexandria database
Functional: PBE
Structure: optimized geometry

Unit cell a=7.0357 b=7.0357 c=7.0357 alpha=90.00 beta=90.00 gamma=90.00
Space group F-43m (No. 216)
Symmetry-distinct sites (fractional):
Pm  0.0000  0.0000  0.0000 (multiplicity 4)
Sn  0.0000  0.0000  0.5000 (multiplicity 4)
Pt  0.2500  0.2500  0.7500 (multiplicity 4)
Au  0.2500  0.2500  0.2500 (multiplicity 4)

Results
**Formation energy from the elements**: -0.754 eV/atom
**Uncorrected energy**: -0.387 Ry per atom


Record 3
Compound: Pm2Sn4Pt3Au
Source: the Alexandria database
Functional: PBE
Structure: optimized geometry

Unit cell a=4.6045 b=4.6045 c=10.8217 alpha=90.00 beta=90.00 gamma=90.00
Space group P-4m2 (No. 115)
Symmetry-distinct sites (fractional):
Pm  0.0000  0.5000  0.2382 (multiplicity 2)
Sn  0.0000  0.0000  0.5000 (multiplicity 1)
Sn  0.0000  0.5000  0.8654 (multiplicity 2)
Sn  0.5000  0.5000  0.5000 (multiplicity 1)
Pt  0.0000  0.0000  0.0000 (multiplicity 1)
Pt  0.0000  0.5000  0.6265 (multiplicity 2)
Au  0.5000  0.5000  0.0000 (multiplicity 1)

Results
**Formation energy from the elements**: -0.767 eV/atom
**Uncorrected energy**: -0.401 Ry per atom


Record 4
Compound: SrPmPtAu
Source: the Alexandria database
Functional: PBE
Structure: optimized geometry

Unit cell a=4.5483 b=4.0430 c=11.4855 alpha=90.00 beta=90.00 gamma=90.00
Space group Amm2 (No. 38)
Symmetry-distinct sites (fractional):
Sr  0.0000  0.0000  0.0000 (multiplicity 2)
Pm  0.5000  0.0000  0.7239 (multiplicity 2)
Pt  0.0000  0.0000  0.2683 (multiplicity 2)
Au  0.5000  0.0000  0.4363 (multiplicity 2)

Results
**Formation energy from the elements**: -0.874 eV/atom
**Uncorrected energy**: -0.354 Ry per atom
**E above lowest polymorph**: 0.00 kcal/mol of atoms


Record 5
Compound: SrPmPtAu
Source: the Alexandria database
Functional: PBE
Structure: optimized geometry

Unit cell a=7.3636 b=7.3636 c=7.3636 alpha=90.00 beta=90.00 gamma=90.00
Space group F-43m (No. 216)
Symmetry-distinct sites (fractional):
Sr  0.0000  0.0000  0.0000 (multiplicity 4)
Pm  0.0000  0.0000  0.5000 (multiplicity 4)
Pt  0.2500  0.2500  0.7500 (multiplicity 4)
Au  0.2500  0.2500  0.2500 (multiplicity 4)

Results
**Formation energy from the elements**: -0.806 eV/atom
**Uncorrected energy**: -0.349 Ry per atom
**E above lowest polymorph**: 1.58 kcal/mol of atoms


Record 6
Compound: TbPmPtAu
Source: the Alexandria database
Functional: PBE
Structure: optimized geometry

Unit cell a=4.6498 b=3.8485 c=10.8232 alpha=90.00 beta=90.00 gamma=90.00
Space group Amm2 (No. 38)
Symmetry-distinct sites (fractional):
Tb  0.0000  0.0000  0.0000 (multiplicity 2)
Pm  0.5000  0.0000  0.2757 (multiplicity 2)
Pt  0.5000  0.0000  0.5474 (multiplicity 2)
Au  0.0000  0.0000  0.7221 (multiplicity 2)

Results
**Formation energy from the elements**: -1.032 eV/atom
**Uncorrected energy**: -0.419 Ry per atom
**E above lowest polymorph**: 0.00 kcal/mol of atoms


Record 7
Compound: TbPmPtAu
Source: the Alexandria database
Functional: PBE
Structure: optimized geometry

Unit cell a=7.2022 b=7.2022 c=7.2022 alpha=90.00 beta=90.00 gamma=90.00
Space group F-43m (No. 216)
Symmetry-distinct sites (fractional):
Tb  0.0000  0.0000  0.0000 (multiplicity 4)
Pm  0.0000  0.0000  0.5000 (multiplicity 4)
Pt  0.2500  0.2500  0.7500 (multiplicity 4)
Au  0.2500  0.2500  0.2500 (multiplicity 4)

Results
**Formation energy from the elements**: -0.972 eV/atom
**Uncorrected energy**: -0.415 Ry per atom
**E above lowest polymorph**: 1.39 kcal/mol of atoms


Record 8
Compound: PmThPtAu
Source: the Alexandria database
Functional: PBE
Structure: optimized geometry

Unit cell a=4.4900 b=3.9111 c=11.5363 alpha=90.00 beta=90.00 gamma=90.00
Space group Amm2 (No. 38)
Symmetry-distinct sites (fractional):
Pm  0.0000  0.0000  0.0000 (multiplicity 2)
Th  0.5000  0.0000  0.7258 (multiplicity 2)
Pt  0.0000  0.0000  0.2595 (multiplicity 2)
Au  0.5000  0.0000  0.4436 (multiplicity 2)

Results
**Formation energy from the elements**: -0.999 eV/atom
**Uncorrected energy**: -0.468 Ry per atom
**E above lowest polymorph**: 0.00 kcal/mol of atoms


Record 9
Compound: PmThPtAu
Source: the Alexandria database
Functional: PBE
Structure: optimized geometry

Unit cell a=7.3106 b=7.3106 c=7.3106 alpha=90.00 beta=90.00 gamma=90.00
Space group F-43m (No. 216)
Symmetry-distinct sites (fractional):
Pm  0.0000  0.0000  0.0000 (multiplicity 4)
Th  0.0000  0.0000  0.5000 (multiplicity 4)
Pt  0.2500  0.2500  0.2500 (multiplicity 4)
Au  0.2500  0.2500  0.7500 (multiplicity 4)

Results
**Formation energy from the elements**: -0.844 eV/atom
**Uncorrected energy**: -0.457 Ry per atom
**E above lowest polymorph**: 3.57 kcal/mol of atoms


Record 10
Compound: PmTlPtAu
Source: the Alexandria database
Functional: PBE
Structure: optimized geometry

Unit cell a=7.0813 b=7.0813 c=7.0813 alpha=90.00 beta=90.00 gamma=90.00
Space group F-43m (No. 216)
Symmetry-distinct sites (fractional):
Pm  0.0000  0.0000  0.0000 (multiplicity 4)
Tl  0.0000  0.0000  0.5000 (multiplicity 4)
Pt  0.2500  0.2500  0.7500 (multiplicity 4)
Au  0.2500  0.2500  0.2500 (multiplicity 4)

Results
**Formation energy from the elements**: -0.591 eV/atom
**Uncorrected energy**: -0.345 Ry per atom


Record 11
Compound: PmTmPtAu
Source: the Alexandria database
Functional: PBE
Structure: optimized geometry

Unit cell a=4.6338 b=3.7986 c=10.7449 alpha=90.00 beta=90.00 gamma=90.00
Space group Amm2 (No. 38)
Symmetry-distinct sites (fractional):
Pm  0.0000  0.0000  0.0000 (multiplicity 2)
Tm  0.5000  0.0000  0.7239 (multiplicity 2)
Pt  0.0000  0.0000  0.2706 (multiplicity 2)
Au  0.5000  0.0000  0.4456 (multiplicity 2)

Results
**Formation energy from the elements**: -1.045 eV/atom
**Uncorrected energy**: -0.417 Ry per atom
**E above lowest polymorph**: 0.00 kcal/mol of atoms


Record 12
Compound: PmTmPtAu
Source: the Alexandria database
Functional: PBE
Structure: optimized geometry

Unit cell a=7.1443 b=7.1443 c=7.1443 alpha=90.00 beta=90.00 gamma=90.00
Space group F-43m (No. 216)
Symmetry-distinct sites (fractional):
Pm  0.0000  0.0000  0.0000 (multiplicity 4)
Tm  0.0000  0.0000  0.5000 (multiplicity 4)
Pt  0.2500  0.2500  0.2500 (multiplicity 4)
Au  0.2500  0.2500  0.7500 (multiplicity 4)

Results
**Formation energy from the elements**: -0.994 eV/atom
**Uncorrected energy**: -0.414 Ry per atom
**E above lowest polymorph**: 1.16 kcal/mol of atoms


Record 13
Compound: Pm2Zn4Pt3Au
Source: the Alexandria database
Functional: PBE
Structure: optimized geometry

Unit cell a=4.0681 b=4.0681 c=11.6384 alpha=90.00 beta=90.00 gamma=90.00
Space group P-4m2 (No. 115)
Symmetry-distinct sites (fractional):
Pm  0.0000  0.5000  0.2393 (multiplicity 2)
Zn  0.0000  0.0000  0.0000 (multiplicity 1)
Zn  0.0000  0.5000  0.6389 (multiplicity 2)
Zn  0.5000  0.5000  0.0000 (multiplicity 1)
Pt  0.0000  0.5000  0.8566 (multiplicity 2)
Pt  0.5000  0.5000  0.5000 (multiplicity 1)
Au  0.0000  0.0000  0.5000 (multiplicity 1)

Results
**Formation energy from the elements**: -0.706 eV/atom
**Uncorrected energy**: -0.316 Ry per atom


Record 14
Compound: PmZnPtAu
Source: the Alexandria database
Functional: PBE
Structure: optimized geometry

Unit cell a=7.7939 b=4.5148 c=5.3998 alpha=90.00 beta=118.83 gamma=90.00
Space group Cm (No. 8)
Symmetry-distinct sites (fractional):
Pm  0.0000  0.0000  0.0000 (multiplicity 2)
Zn  0.0198  0.5000  0.5598 (multiplicity 2)
Pt  0.2154  0.0000  0.6470 (multiplicity 2)
Au  0.2835  0.5000  0.3517 (multiplicity 2)

Results
**Formation energy from the elements**: -0.765 eV/atom
**Uncorrected energy**: -0.338 Ry per atom
**E above lowest polymorph**: 0.00 kcal/mol of atoms


Record 15
Compound: Pm2Zn2Pt5Au
Source: the Alexandria database
Functional: PBE
Structure: optimized geometry

Unit cell a=9.6445 b=9.6445 c=3.9001 alpha=90.00 beta=90.00 gamma=90.00
Space group P4/mbm (No. 127)
Symmetry-distinct sites (fractional):
Pm  0.1790  0.3210  0.0000 (multiplicity 4)
Zn  0.1193  0.6193  0.0000 (multiplicity 4)
Pt  0.0000  0.5000  0.5000 (multiplicity 2)
Pt  0.0648  0.7926  0.5000 (multiplicity 8)
Au  0.0000  0.0000  0.0000 (multiplicity 2)

Results
**Formation energy from the elements**: -0.754 eV/atom
**Uncorrected energy**: -0.390 Ry per atom


Record 16
Compound: PmZnPtAu
Source: the Alexandria database
Functional: PBE
Structure: optimized geometry

Unit cell a=6.8671 b=6.8671 c=6.8671 alpha=90.00 beta=90.00 gamma=90.00
Space group F-43m (No. 216)
Symmetry-distinct sites (fractional):
Pm  0.0000  0.0000  0.0000 (multiplicity 4)
Zn  0.0000  0.0000  0.5000 (multiplicity 4)
Pt  0.2500  0.2500  0.7500 (multiplicity 4)
Au  0.2500  0.2500  0.2500 (multiplicity 4)

Results
**Formation energy from the elements**: -0.654 eV/atom
**Uncorrected energy**: -0.330 Ry per atom
**E above lowest polymorph**: 2.55 kcal/mol of atoms


Record 17
Compound: PmPuAu
Source: the Alexandria database
Functional: PBE
Structure: optimized geometry

Unit cell a=3.6716 b=3.6716 c=12.1380 alpha=90.00 beta=90.00 gamma=90.00
Space group I4mm (No. 107)
Symmetry-distinct sites (fractional):
Pm  0.0000  0.0000  0.0000 (multiplicity 2)
Pu  0.0000  0.0000  0.7072 (multiplicity 2)
Au  0.0000  0.0000  0.3564 (multiplicity 2)

Results
**Formation energy from the elements**: -0.291 eV/atom
**Uncorrected energy**: -0.569 Ry per atom
**E above lowest polymorph**: 0.00 kcal/mol of atoms


Record 18
Compound: PmPuAu2
Source: the Alexandria database
Functional: PBE
Structure: optimized geometry

Unit cell a=7.3414 b=7.3414 c=7.3414 alpha=90.00 beta=90.00 gamma=90.00
Space group Fm-3m (No. 225)
Symmetry-distinct sites (fractional):
Pm  0.0000  0.0000  0.0000 (multiplicity 4)
Pu  0.0000  0.0000  0.5000 (multiplicity 4)
Au  0.2500  0.2500  0.2500 (multiplicity 8)

Results
**Formation energy from the elements**: -0.574 eV/atom
**Uncorrected energy**: -0.513 Ry per atom
**E above lowest polymorph**: 0.39 kcal/mol of atoms


Record 19
Compound: PmPu2Au4
Source: the Alexandria database
Functional: PBE
Structure: optimized geometry

Unit cell a=4.6779 b=4.6779 c=16.2571 alpha=90.00 beta=90.00 gamma=90.00
Space group I4/mmm (No. 139)
Symmetry-distinct sites (fractional):
Pm  0.0000  0.0000  0.0000 (multiplicity 2)
Pu  0.0000  0.0000  0.2517 (multiplicity 4)
Au  0.0000  0.5000  0.1219 (multiplicity 8)

Results
**Formation energy from the elements**: -0.410 eV/atom
**Uncorrected energy**: -0.519 Ry per atom


Record 20
Compound: PmPuAu2
Source: the Alexandria database
Functional: PBE
Structure: optimized geometry

Unit cell a=3.6538 b=3.6538 c=7.3745 alpha=90.00 beta=90.00 gamma=90.00
Space group P4/mmm (No. 123)
Symmetry-distinct sites (fractional):
Pm  0.0000  0.0000  0.0000 (multiplicity 1)
Pu  0.0000  0.0000  0.5000 (multiplicity 1)
Au  0.5000  0.5000  0.2453 (multiplicity 2)

Results
**Formation energy from the elements**: -0.591 eV/atom
**Uncorrected energy**: -0.515 Ry per atom
**E above lowest polymorph**: 0.00 kcal/mol of atoms


Record 21
Compound: PmPu3Au4
Source: the Alexandria database
Functional: PBE
Structure: optimized geometry

Unit cell a=3.6352 b=3.6352 c=14.7459 alpha=90.00 beta=90.00 gamma=90.00
Space group P4/mmm (No. 123)
Symmetry-distinct sites (fractional):
Pm  0.0000  0.0000  0.0000 (multiplicity 1)
Pu  0.0000  0.0000  0.2518 (multiplicity 2)
Pu  0.0000  0.0000  0.5000 (multiplicity 1)
Au  0.5000  0.5000  0.1228 (multiplicity 2)
Au  0.5000  0.5000  0.3754 (multiplicity 2)

Results
**Formation energy from the elements**: -0.488 eV/atom
**Uncorrected energy**: -0.595 Ry per atom


Record 22
Compound: PmPu2Au8
Source: the Alexandria database
Functional: PBE
Structure: optimized geometry

Unit cell a=7.9058 b=15.3558 c=5.2540 alpha=90.00 beta=130.29 gamma=90.00
Space group C2/m (No. 12)
Symmetry-distinct sites (fractional):
Pm  0.0000  0.0000  0.0000 (multiplicity 2)
Pu  0.0000  0.3148  0.5000 (multiplicity 4)
Au  0.0000  0.2011  0.0000 (multiplicity 4)
Au  0.0075  0.5000  0.2584 (multiplicity 4)
Au  0.2292  0.1319  0.7410 (multiplicity 8)

Results
**Formation energy from the elements**: -0.479 eV/atom
**Uncorrected energy**: -0.434 Ry per atom


Record 23
Compound: PmPu5Au6
Source: the Alexandria database
Functional: PBE
Structure: optimized geometry

Unit cell a=15.9096 b=7.4102 c=5.1259 alpha=90.00 beta=105.82 gamma=90.00
Space group C2/m (No. 12)
Symmetry-distinct sites (fractional):
Pm  0.0000  0.0000  0.0000 (multiplicity 2)
Pu  0.0000  0.5000  0.0000 (multiplicity 2)
Pu  0.1597  0.5000  0.6480 (multiplicity 4)
Pu  0.1771  0.0000  0.6548 (multiplicity 4)
Au  0.0000  0.2337  0.5000 (multiplicity 4)
Au  0.1653  0.2416  0.1448 (multiplicity 8)

Results
**Formation energy from the elements**: -0.452 eV/atom
**Uncorrected energy**: -0.622 Ry per atom


Record 24
Compound: PmPuAu2
Source: the Alexandria database
Functional: PBE
Structure: optimized geometry

Unit cell a=4.1862 b=4.1862 c=22.0497 alpha=90.00 beta=90.00 gamma=120.00
Space group R-3m (No. 166, hexagonal axes)
Symmetry-distinct sites (fractional):
Pm  0.0000  0.0000  0.0000 (multiplicity 3)
Pu  0.0000  0.0000  0.5000 (multiplicity 3)
Au  0.0000  0.0000  0.2500 (multiplicity 6)

Results
**Formation energy from the elements**: -0.451 eV/atom
**Uncorrected energy**: -0.504 Ry per atom
**E above lowest polymorph**: 3.23 kcal/mol of atoms


Record 25
Compound: Pm3PuAu4
Source: the Alexandria database
Functional: PBE
Structure: optimized geometry

Unit cell a=7.3640 b=7.3640 c=7.3640 alpha=90.00 beta=90.00 gamma=90.00
Space group Im-3m (No. 229)
Symmetry-distinct sites (fractional):
Pm  0.0000  0.0000  0.5000 (multiplicity 6)
Pu  0.0000  0.0000  0.0000 (multiplicity 2)
Au  0.2500  0.2500  0.2500 (multiplicity 8)

Results
**Formation energy from the elements**: -0.681 eV/atom
**Uncorrected energy**: -0.433 Ry per atom


Record 26
Compound: PmPu2Au6
Source: the Alexandria database
Functional: PBE
Structure: optimized geometry

Unit cell a=8.4163 b=8.4163 c=3.2362 alpha=90.00 beta=90.00 gamma=120.00
Space group P6/mmm (No. 191)
Symmetry-distinct sites (fractional):
Pm  0.0000  0.0000  0.0000 (multiplicity 1)
Pu  0.3333  0.6667  0.0000 (multiplicity 2)
Au  0.0000  0.3336  0.5000 (multiplicity 6)

Results
**Formation energy from the elements**: -0.568 eV/atom
**Uncorrected energy**: -0.475 Ry per atom


Record 27
Compound: PmPuAu
Source: the Alexandria database
Functional: PBE
Structure: optimized geometry

Unit cell a=7.1469 b=7.1469 c=7.1469 alpha=90.00 beta=90.00 gamma=90.00
Space group F-43m (No. 216)
Symmetry-distinct sites (fractional):
Pm  0.0000  0.0000  0.0000 (multiplicity 4)
Pu  0.0000  0.0000  0.5000 (multiplicity 4)
Au  0.2500  0.2500  0.7500 (multiplicity 4)

Results
**Formation energy from the elements**: -0.157 eV/atom
**Uncorrected energy**: -0.559 Ry per atom
**E above lowest polymorph**: 3.08 kcal/mol of atoms